A plane-wave DFT calculation with PBE was carried out for a geometry-optimized ZnCoCu2 structure.

Computed properties:
As for the formation energy: 0.3 eV/f.u. The density of states at the Fermi level is 4.14 states/eV/cell.

a = 4.4625 Å, b = 4.4625 Å, c = 4.4625 Å
α = 131.69°, β = 131.69°, γ = 70.72°
Closest atoms and distances in Å follow each position.
Positions (direct):
Co1 0.7500 0.2500 0.5000  8 Cu 2.58, 4 Zn 2.58
Cu1 0.0000 0.0000 0.0000  4 Co 2.58, 4 Zn 2.58, 4 Cu 2.58
Cu2 0.5000 0.5000 0.0000  4 Zn 2.58, 4 Co 2.58, 4 Cu 2.58
Zn1 0.2500 0.7500 0.5000  8 Cu 2.58, 4 Co 2.58

---

A plane-wave DFT calculation with PBE was carried out for a geometry-optimized ZnCoCu structure.

Computed properties:
For the distance to the lowest polymorph of the same formula, the calculation gives 0.1086 eV per atom. As for the formation energy: 0.2 eV/f.u. The density of states at the Fermi level is 3.07 states/eV/cell.

a = 4.4816 Å, b = 4.4816 Å, c = 4.4816 Å
α = 146.83°, β = 131.67°, γ = 59.88°
Closest atoms and distances in Å follow each position.
Positions (direct):
Co1 0.0008 0.0008 0.0000  2 Co 2.56, 5 Cu 2.57-2.61, 5 Zn 2.58-2.59
Cu1 0.6649 0.6649 0.0000  2 Cu 2.56, 5 Zn 2.57-2.60, 5 Co 2.57-2.61
Zn1 0.3343 0.3343 0.0000  2 Zn 2.56, 5 Cu 2.57-2.60, 5 Co 2.58-2.59

---

A plane-wave DFT calculation with PBE was carried out for a geometry-optimized Zn2CoCu structure.

Computed properties:
As for the formation energy: 1.4 eV/f.u. The density of states at the Fermi level is 2.54 states/eV/cell.

a = 5.5463 Å, b = 5.5463 Å, c = 5.5463 Å
α = 54.99°, β = 153.63°, γ = 132.66°
Closest atoms and distances in Å follow each position.
Positions (direct):
Zn1 0.0000 0.2490 0.2490  1 Co 2.45, 1 Cu 2.47, 6 Zn 2.53-2.56
Zn2 0.0000 0.7510 0.7510  1 Co 2.45, 1 Cu 2.47, 6 Zn 2.53-2.56
Co1 0.0000 0.0000 0.0000  2 Zn 2.45, 2 Co 2.53, 4 Cu 2.56
Cu1 0.0000 0.5000 0.5000  2 Zn 2.47, 2 Cu 2.53, 4 Co 2.56

---

A plane-wave DFT calculation with PBE was carried out for a geometry-optimized Zn6Co2Cu structure.

Computed properties:
For the distance to the lowest polymorph of the same formula, the calculation gives 0.0000 eV per atom. As for the formation energy: 0.5 eV/f.u. The density of states at the Fermi level is 10.07 states/eV/cell.

a = 4.2885 Å, b = 8.1118 Å, c = 8.1118 Å
α = 109.61°, β = 98.01°, γ = 98.01°
Closest atoms and distances in Å follow each position.
Positions (direct):
Zn1 0.0960 0.8126 0.5739  4 Co 2.48-2.64, 2 Zn 2.63-2.65
Zn2 0.4040 0.4261 0.1874  4 Co 2.48-2.64, 2 Zn 2.63-2.65
Zn3 0.9040 0.1874 0.4261  4 Co 2.48-2.64, 2 Zn 2.63-2.65
Zn4 0.5960 0.5739 0.8126  4 Co 2.48-2.64, 2 Zn 2.63-2.65
Zn5 0.5635 0.8450 0.3542  1 Co 2.41, 1 Cu 2.55, 1 Zn 2.66
Zn6 0.9364 0.6458 0.1550  1 Co 2.41, 1 Cu 2.55, 1 Zn 2.66
Zn7 0.4365 0.1550 0.6458  1 Co 2.41, 1 Cu 2.55, 1 Zn 2.66
Zn8 0.0636 0.3542 0.8450  1 Co 2.41, 1 Cu 2.55, 1 Zn 2.66
Zn9 0.1775 0.7745 0.9285  1 Co 2.47, 3 Cu 2.52-2.62, 4 Zn 2.63-2.69
Zn10 0.3225 0.0715 0.2255  1 Co 2.47, 3 Cu 2.52-2.62, 4 Zn 2.63-2.69
Zn11 0.8225 0.2255 0.0715  1 Co 2.47, 3 Cu 2.52-2.62, 4 Zn 2.63-2.69
Zn12 0.6775 0.9285 0.7745  1 Co 2.47, 3 Cu 2.52-2.62, 4 Zn 2.63-2.69
Co1 0.0389 0.5158 0.6444  1 Co 2.24, 4 Zn 2.41-2.50
Co2 0.4611 0.3556 0.4842  1 Co 2.24, 4 Zn 2.41-2.50
Co3 0.9611 0.4842 0.3556  1 Co 2.24, 4 Zn 2.41-2.50
Co4 0.5389 0.6444 0.5158  1 Co 2.24, 4 Zn 2.41-2.50
Cu1 0.2500 0.0923 0.9077  10 Zn 2.52-2.81
Cu2 0.7500 0.9077 0.0923  10 Zn 2.52-2.81

---

Number 1: DFT total energy -16.28 eV for the cell shown. Number 2: DFT total energy -12.27 eV for the cell shown. Number 3: DFT total energy -12.39 eV for the cell shown. Number 4: DFT total energy -50.91 eV for the cell shown.